VASP calculation (PBE) on a geometry-optimized SmErPb4 structure.

Lattice parameters (Å, degrees): 3.3138 6.3379 19.3881 90.00 90.00 90.00
Space group Amm2 (No. 38)
Asymmetric unit:
Sm 0.0000 0.0000 0.0000 (multiplicity 2)
Er 0.0000 0.0000 0.8145 (multiplicity 2)
Pb 0.0000 0.0000 0.1638 (multiplicity 2)
Pb 0.0000 0.0000 0.3216 (multiplicity 2)
Pb 0.0000 0.0000 0.4857 (multiplicity 2)
Pb 0.0000 0.0000 0.6482 (multiplicity 2)

Calculated values
V ... 33.934 A^3/atom
Calculated total energy ... -45.7 eV/cell